A geometry-optimized CdGa3W structure, computed with GGA-PBE.

Structure (POSCAR):
```
CdGa3W
1.0
4.9686 0.0000 0.0000
0.0000 4.9686 0.0000
0.0000 0.0000 4.9686
Ga W Cd
3 1 1
Cartesian
0.0000 2.4843 0.0000
0.0000 0.0000 2.4843
2.4843 0.0000 0.0000
0.0000 0.0000 0.0000
2.4843 2.4843 2.4843
```

Properties
relative energy among the computed polymorphs	0	meV per atom
space-group type	Pm-3m
ΔH_f (0 K)	0.56	eV/atom